# Y3In8Co GGA-PBE relaxed
# - symmetry = No. 186
# - size of the total moment (μB per cell) = 1.25
# - formation enthalpy at 0 K (meV per atom) = -308
data_Y3In8Co
_symmetry_space_group_name_H-M 'P 1'
_symmetry_Int_Tables_number 1
_cell_length_a 10.067
_cell_length_b 10.067
_cell_length_c 6.479
_cell_angle_alpha 90.00
_cell_angle_beta 90.00
_cell_angle_gamma 120.00
loop_
_symmetry_equiv_pos_as_xyz
'x,y,z'
loop_
_atom_site_label
_atom_site_type_symbol
_atom_site_fract_x
_atom_site_fract_y
_atom_site_fract_z
In1 In 0.488 0.512 0.996
In2 In 0.333 0.667 0.402
Co1 Co 0.667 0.333 0.499
Y1 Y 0.161 0.839 0.226
In3 In 0.405 0.202 0.228
Y2 Y 0.321 0.161 0.726
In4 In 0.667 0.333 0.902
In5 In 0.512 0.488 0.496
In6 In 0.976 0.488 0.496
Y3 Y 0.839 0.679 0.726
In7 In 0.000 0.000 0.975
In8 In 0.798 0.202 0.228
Co2 Co 0.333 0.667 0.999
In9 In 0.512 0.024 0.496
In10 In 0.202 0.405 0.728
In11 In 0.595 0.798 0.728
Y4 Y 0.161 0.321 0.226
Y5 Y 0.839 0.161 0.726
Y6 Y 0.679 0.839 0.226
In12 In 0.798 0.595 0.228
In13 In 0.488 0.976 0.996
In14 In 0.024 0.512 0.996
In15 In 0.000 0.000 0.475
In16 In 0.202 0.798 0.728



# YInCo2 GGA-PBE relaxed
# - symmetry = No. 99
# - size of the total moment (μB per cell) = 2.60
# - formation enthalpy at 0 K (meV per atom) = -6
data_YInCo2
_symmetry_space_group_name_H-M 'P 1'
_symmetry_Int_Tables_number 1
_cell_length_a 3.156
_cell_length_b 3.156
_cell_length_c 7.186
_cell_angle_alpha 90.00
_cell_angle_beta 90.00
_cell_angle_gamma 90.00
loop_
_symmetry_equiv_pos_as_xyz
'x,y,z'
loop_
_atom_site_label
_atom_site_type_symbol
_atom_site_fract_x
_atom_site_fract_y
_atom_site_fract_z
Co1 Co 0.500 0.500 0.203
Co2 Co 0.000 0.000 0.058
Y1 Y 0.500 0.500 0.796
In1 In 0.000 0.000 0.443



# Y2InCo GGA-PBE relaxed
# - symmetry = No. 99
# - size of the total moment (μB per cell) = 0.00
# - formation enthalpy at 0 K (meV per atom) = 51
data_Y2InCo
_symmetry_space_group_name_H-M 'P 1'
_symmetry_Int_Tables_number 1
_cell_length_a 3.840
_cell_length_b 3.840
_cell_length_c 6.860
_cell_angle_alpha 90.00
_cell_angle_beta 90.00
_cell_angle_gamma 90.00
loop_
_symmetry_equiv_pos_as_xyz
'x,y,z'
loop_
_atom_site_label
_atom_site_type_symbol
_atom_site_fract_x
_atom_site_fract_y
_atom_site_fract_z
In1 In 0.500 0.500 0.761
Y1 Y 0.500 0.500 0.323
Y2 Y 0.000 0.000 0.004
Co1 Co 0.000 0.000 0.411



# Y6In3Co GGA-PBE relaxed
# - symmetry = No. 11
# - size of the total moment (μB per cell) = 1.47
# - formation enthalpy at 0 K (meV per atom) = -311
data_Y6In3Co
_symmetry_space_group_name_H-M 'P 1'
_symmetry_Int_Tables_number 1
_cell_length_a 5.281
_cell_length_b 9.227
_cell_length_c 11.464
_cell_angle_alpha 109.16
_cell_angle_beta 90.00
_cell_angle_gamma 90.00
loop_
_symmetry_equiv_pos_as_xyz
'x,y,z'
loop_
_atom_site_label
_atom_site_type_symbol
_atom_site_fract_x
_atom_site_fract_y
_atom_site_fract_z
Y1 Y 0.750 0.149 0.667
Y2 Y 0.750 0.541 0.916
Y3 Y 0.250 0.459 0.084
Y4 Y 0.750 0.308 0.333
Y5 Y 0.750 0.892 0.154
In1 In 0.750 0.488 0.621
Co1 Co 0.750 0.038 0.408
Y6 Y 0.250 0.108 0.846
In2 In 0.250 0.512 0.379
In3 In 0.250 0.773 0.977
In4 In 0.250 0.406 0.779
Y7 Y 0.250 0.126 0.151
Y8 Y 0.250 0.692 0.667
In5 In 0.750 0.594 0.221
Y9 Y 0.750 0.874 0.849
Y10 Y 0.250 0.219 0.495
In6 In 0.750 0.227 0.023
Y11 Y 0.750 0.781 0.505
Co2 Co 0.250 0.962 0.592
Y12 Y 0.250 0.851 0.333



# YInCo GGA-PBE relaxed
# - symmetry = No. 107
# - size of the total moment (μB per cell) = 0.45
# - formation enthalpy at 0 K (meV per atom) = -152
data_YInCo
_symmetry_space_group_name_H-M 'P 1'
_symmetry_Int_Tables_number 1
_cell_length_a 6.060
_cell_length_b 6.060
_cell_length_c 3.295
_cell_angle_alpha 74.22
_cell_angle_beta 74.23
_cell_angle_gamma 31.55
loop_
_symmetry_equiv_pos_as_xyz
'x,y,z'
loop_
_atom_site_label
_atom_site_type_symbol
_atom_site_fract_x
_atom_site_fract_y
_atom_site_fract_z
In1 In 0.362 0.362 0.638
Y1 Y 0.646 0.646 0.354
Co1 Co 0.992 0.992 0.008



# YInCo2 GGA-PBE relaxed
# - symmetry = No. 38
# - size of the total moment (μB per cell) = 1.39
# - formation enthalpy at 0 K (meV per atom) = -126
data_YInCo2
_symmetry_space_group_name_H-M 'P 1'
_symmetry_Int_Tables_number 1
_cell_length_a 3.863
_cell_length_b 4.012
_cell_length_c 5.146
_cell_angle_alpha 67.05
_cell_angle_beta 90.00
_cell_angle_gamma 90.00
loop_
_symmetry_equiv_pos_as_xyz
'x,y,z'
loop_
_atom_site_label
_atom_site_type_symbol
_atom_site_fract_x
_atom_site_fract_y
_atom_site_fract_z
In1 In 0.000 0.477 0.422
Y1 Y 0.500 0.774 0.827
Co1 Co 0.000 0.183 0.010
Co2 Co 0.500 0.066 0.242



# YIn5Co GGA-PBE relaxed
# - symmetry = No. 123
# - size of the total moment (μB per cell) = 0.00
# - formation enthalpy at 0 K (meV per atom) = -246
data_YIn5Co
_symmetry_space_group_name_H-M 'P 1'
_symmetry_Int_Tables_number 1
_cell_length_a 4.581
_cell_length_b 4.581
_cell_length_c 7.508
_cell_angle_alpha 90.00
_cell_angle_beta 90.00
_cell_angle_gamma 90.00
loop_
_symmetry_equiv_pos_as_xyz
'x,y,z'
loop_
_atom_site_label
_atom_site_type_symbol
_atom_site_fract_x
_atom_site_fract_y
_atom_site_fract_z
In1 In 0.500 0.000 0.693
In2 In 0.000 0.500 0.307
In3 In 0.500 0.500 0.000
In4 In 0.000 0.500 0.693
Co1 Co 0.000 0.000 0.500
In5 In 0.500 0.000 0.307
Y1 Y 0.000 0.000 0.000



# Y12InCo5 GGA-PBE relaxed
# - symmetry = No. 71
# - size of the total moment (μB per cell) = 0.01
# - formation enthalpy at 0 K (meV per atom) = -236
data_Y12InCo5
_symmetry_space_group_name_H-M 'P 1'
_symmetry_Int_Tables_number 1
_cell_length_a 8.324
_cell_length_b 8.324
_cell_length_c 8.324
_cell_angle_alpha 107.11
_cell_angle_beta 110.66
_cell_angle_gamma 110.67
loop_
_symmetry_equiv_pos_as_xyz
'x,y,z'
loop_
_atom_site_label
_atom_site_type_symbol
_atom_site_fract_x
_atom_site_fract_y
_atom_site_fract_z
Y1 Y 0.193 0.984 0.791
Y2 Y 0.106 0.814 0.293
Co1 Co 0.381 0.381 0.000
Y3 Y 0.807 0.016 0.209
Y4 Y 0.193 0.401 0.209
Y5 Y 0.894 0.186 0.707
Y6 Y 0.304 0.686 0.990
Co2 Co 0.000 0.000 0.000
In1 In 0.000 0.500 0.500
Y7 Y 0.807 0.599 0.791
Co3 Co 0.619 0.619 0.000
Y8 Y 0.696 0.686 0.382
Y9 Y 0.696 0.314 0.010
Y10 Y 0.521 0.814 0.707
Co4 Co 0.500 0.889 0.389
Y11 Y 0.479 0.186 0.293
Y12 Y 0.304 0.314 0.618
Co5 Co 0.500 0.111 0.611